Record 1
{
  "formula": "Pm3Pr6Nd2In",
  "functional": "PBE",
  "state": "optimized geometry",
  "magnetic_moment_mub_per_cell": 0.00,
  "sg": "C2/m, No. 12",
  "e_form_ev_per_atom": -0.049,
  "cell": [[3.149, -5.474, 0.000], [3.149, 5.474, 0.000], [-2.144, 0.000, 11.892]],
  "species": ["Pm", "Pm", "Pm", "Pr", "Pr", "Pr", "Pr", "Pr", "Pr", "Nd", "Nd", "In"],
  "fractional_positions": [[0.000, 0.000, 0.000], [0.331, 0.669, 0.000], [0.669, 0.331, 0.000], [0.094, 0.418, 0.253], [0.258, 0.258, 0.749], [0.418, 0.094, 0.253], [0.582, 0.906, 0.747], [0.742, 0.742, 0.251], [0.906, 0.582, 0.747], [0.166, 0.834, 0.500], [0.834, 0.166, 0.500], [0.500, 0.500, 0.500]]
}

Record 2
{
  "formula": "HfGaAg",
  "functional": "PBE",
  "state": "optimized geometry",
  "magnetic_moment_mub_per_cell": 0.00,
  "sg": "C2/m, No. 12",
  "e_form_ev_per_atom": -0.210,
  "cell": [[4.969, -2.052, 0.000], [4.969, 2.052, 0.000], [-3.974, 0.000, 5.402]],
  "species": ["Hf", "Hf", "Ga", "Ga", "Ag", "Ag"],
  "fractional_positions": [[0.056, 0.056, 0.309], [0.944, 0.944, 0.691], [0.348, 0.348, 0.340], [0.652, 0.652, 0.660], [0.333, 0.333, 0.919], [0.667, 0.667, 0.081]]
}